(1)
Material: LiSn3Ir
Method: DFT, SCAN
State: PBEsol geometry

```
LiSn3Ir
1.0
5.139 0.000 0.000
0.000 5.139 0.000
0.000 0.000 5.139
Li Sn Ir
1 3 1
Cartesian
0.000 0.000 0.000 Li
0.000 2.570 2.570 Sn
2.570 0.000 2.570 Sn
2.570 2.570 0.000 Sn
2.570 2.570 2.570 Ir
```

Results
SG: Pm-3m (221)

---

(2)
Material: Li2TiSnIr
Method: DFT, SCAN
State: PBEsol geometry

```
Li2TiSnIr
1.0
4.398 0.000 0.000
0.000 4.398 0.000
0.000 0.000 5.078
Li Ti Sn Ir
2 1 1 1
Cartesian
0.000 2.199 0.000 Li
2.199 0.000 0.000 Li
0.000 0.000 2.539 Ti
0.000 0.000 0.000 Sn
2.199 2.199 2.539 Ir
```

Results
SG: P4/mmm (123)

---

(3)
Material: SrLi2Ir
Method: DFT, SCAN
State: PBEsol geometry

```
SrLi2Ir
1.0
0.000 3.397 3.397
3.397 0.000 3.397
3.397 3.397 0.000
Sr Li Ir
1 2 1
Cartesian
0.000 0.000 0.000 Sr
3.397 3.397 3.397 Li
5.095 5.095 5.095 Li
1.698 1.698 1.698 Ir
```

Results
SG: F-43m (216)

---

| no. | D(E_F) (states/eV per atom) | total moment (μB/atom) | E_form (eV per atom) |
| --- | --- | --- | --- |
| 1 | 1.01 | 0.000 | 0.1996 |
| 2 | 0.79 | 0.107 | 0.9631 |
| 3 | 0.69 | 0.000 | 0.0996 |